! ScNiAs2, relaxed, DFT PBE; values from VASP
&SYSTEM
  ibrav = 0, nat = 4, ntyp = 3
/
ATOMIC_SPECIES
As 74.92 As.upf
Ni 58.69 Ni.upf
Sc 44.96 Sc.upf
ATOMIC_POSITIONS crystal
As 0.013 0.013 0.958
As 0.487 0.487 0.542
Ni 0.750 0.750 0.750
Sc 0.250 0.250 0.250
CELL_PARAMETERS angstrom
3.827 -0.086 0.074
1.964 3.286 0.074
1.839 1.016 5.484
! Calculated total energy = -5.91 eV/atom
! ΔH_f (0 K) = -0.558 eV per atom
! Total moment = 0.00 μB per cell

=====

! Na3HfTe3, relaxed, DFT PBE; values from VASP
&SYSTEM
  ibrav = 0, nat = 14, ntyp = 3
/
ATOMIC_SPECIES
Na 22.99 Na.upf
Hf 178.49 Hf.upf
Te 127.60 Te.upf
ATOMIC_POSITIONS crystal
Na 0.583 0.583 0.356
Na 0.163 0.837 0.500
Na 0.837 0.163 0.500
Na 0.258 0.742 0.000
Na 0.742 0.258 0.000
Na 0.417 0.417 0.644
Hf 0.841 0.841 0.861
Hf 0.159 0.159 0.139
Te 0.864 0.864 0.212
Te 0.856 0.525 0.724
Te 0.525 0.856 0.724
Te 0.144 0.475 0.276
Te 0.475 0.144 0.276
Te 0.136 0.136 0.788
CELL_PARAMETERS angstrom
-3.016 4.000 -6.464
-3.794 -7.024 1.775
-3.512 4.513 5.706
! Calculated total energy = -4.11 eV/atom
! Raw formation energy = -0.777 eV/atom
! Total moment = 0.00 μB per cell

=====

! Sc2SbOs, relaxed, DFT PBE; values from VASP
&SYSTEM
  ibrav = 0, nat = 4, ntyp = 3
/
ATOMIC_SPECIES
Os 190.23 Os.upf
Sb 121.76 Sb.upf
Sc 44.96 Sc.upf
ATOMIC_POSITIONS crystal
Os 0.500 0.000 0.500
Sb 0.000 0.500 0.500
Sc 0.000 0.000 0.000
Sc 0.500 0.500 0.000
CELL_PARAMETERS angstrom
4.506 0.454 0.000
-0.453 4.506 0.000
0.000 0.000 3.745
! Calculated total energy = -7.45 eV/atom
! Raw formation energy = -0.442 eV/atom
! Total moment = 0.00 μB per cell

=====

! SrCaEuY, relaxed, DFT PBE; values from VASP
&SYSTEM
  ibrav = 0, nat = 4, ntyp = 4
/
ATOMIC_SPECIES
Eu 151.96 Eu.upf
Y 88.91 Y.upf
Ca 40.08 Ca.upf
Sr 87.62 Sr.upf
ATOMIC_POSITIONS crystal
Eu 0.500 0.500 0.500
Y 0.750 0.750 0.750
Ca 0.000 0.000 0.000
Sr 0.250 0.250 0.250
CELL_PARAMETERS angstrom
-2.245 3.593 4.427
-4.740 -1.905 3.384
0.840 -1.498 5.882
! Calculated total energy = -4.97 eV/atom
! ΔH_f (0 K) = 0.138 eV per atom
! Total moment = 7.23 μB per cell